[1]
DFT (PBE) results for an optimized crystal structure of TiVAg3.

Cell: 4.873 4.873 4.873 Å, 90.00 90.00 90.00°
Sites, in units of the cell vectors:
Ag 0.000 0.500 0.000
Ag 0.500 0.000 0.000
Ag 0.000 0.000 0.500
V 0.000 0.000 0.000
Ti 0.500 0.500 0.500

Properties
Symmetry: Pm-3m (221)
Electronic total energy, eV/atom: -3.83
Distance to the lowest polymorph of the same formula, eV per atom: 0.000
ΔE_f, eV per atom: 1.28


[2]
DFT (PBE) results for an optimized crystal structure of TiVAg.

Cell: 2.728 2.728 6.736 Å, 101.69 101.69 90.00°
Sites, in units of the cell vectors:
V 0.006 0.006 0.012
Ti 0.657 0.657 0.315
Ag 0.337 0.337 0.673

Properties
Symmetry: I4mm (107)
Electronic total energy, eV/atom: -6.51
Distance to the lowest polymorph of the same formula, eV per atom: 0.055
ΔE_f, eV per atom: 0.11


[3]
DFT (PBE) results for an optimized crystal structure of Ti2VAg2.

Cell: 7.505 7.505 3.112 Å, 90.00 90.00 90.00°
Sites, in units of the cell vectors:
Ti 0.164 0.336 0.000
Ti 0.664 0.164 0.000
Ti 0.336 0.836 0.000
Ti 0.836 0.664 0.000
Ag 0.866 0.366 0.500
Ag 0.634 0.866 0.500
Ag 0.366 0.134 0.500
Ag 0.134 0.634 0.500
V 0.000 0.000 0.000
V 0.500 0.500 0.000

Properties
Symmetry: P4/mbm (127)
Electronic total energy, eV/atom: -5.68
ΔE_f, eV per atom: 0.44


[4]
DFT (PBE) results for an optimized crystal structure of Ti2VAg.

Cell: 3.844 3.844 9.903 Å, 78.81 78.81 90.00°
Sites, in units of the cell vectors:
Ti 0.133 0.625 0.250
Ti 0.875 0.867 0.750
Ti 0.617 0.125 0.250
Ti 0.375 0.383 0.750
V 0.500 0.500 0.000
V 0.250 0.750 0.500
Ag 0.750 0.250 0.500
Ag 0.000 0.000 0.000

Properties
Symmetry: I-42d (122)
Electronic total energy, eV/atom: -6.32
Distance to the lowest polymorph of the same formula, eV per atom: 0.610
ΔE_f, eV per atom: 0.62


[5]
DFT (PBE) results for an optimized crystal structure of Ti2VAg.

Cell: 3.160 4.535 4.535 Å, 90.00 90.00 90.00°
Sites, in units of the cell vectors:
V 0.500 0.500 0.500
Ti 0.000 0.000 0.500
Ti 0.000 0.500 0.000
Ag 0.500 0.000 0.000

Properties
Symmetry: P4/mmm (123)
Electronic total energy, eV/atom: -6.79
Distance to the lowest polymorph of the same formula, eV per atom: 0.147
ΔE_f, eV per atom: 0.15


[6]
DFT (PBE) results for an optimized crystal structure of TiVAg.

Cell: 4.085 4.085 7.969 Å, 75.15 75.15 60.00°
Sites, in units of the cell vectors:
V 0.826 0.826 0.523
V 0.174 0.174 0.477
Ag 0.701 0.701 0.897
Ag 0.299 0.299 0.103
Ti 0.436 0.436 0.693
Ti 0.564 0.564 0.307

Properties
Symmetry: R-3m (166)
Electronic total energy, eV/atom: -6.28
Distance to the lowest polymorph of the same formula, eV per atom: 0.279
ΔE_f, eV per atom: 0.34


[7]
DFT (PBE) results for an optimized crystal structure of TiV3Ag.

Cell: 4.443 4.443 4.443 Å, 90.00 90.00 90.00°
Sites, in units of the cell vectors:
V 0.000 0.500 0.000
V 0.500 0.000 0.000
V 0.000 0.000 0.500
Ag 0.500 0.500 0.500
Ti 0.000 0.000 0.000

Properties
Symmetry: Pm-3m (221)
Electronic total energy, eV/atom: -6.37
Distance to the lowest polymorph of the same formula, eV per atom: 0.000
ΔE_f, eV per atom: 1.25


[8]
DFT (PBE) results for an optimized crystal structure of Ti3AgW.

Cell: 4.788 4.788 4.788 Å, 90.00 90.00 90.00°
Sites, in units of the cell vectors:
Ti 0.000 0.500 0.000
Ti 0.500 0.000 0.000
Ti 0.000 0.000 0.500
W 0.000 0.000 0.000
Ag 0.500 0.500 0.500

Properties
Symmetry: Pm-3m (221)
Electronic total energy, eV/atom: -6.96
Distance to the lowest polymorph of the same formula, eV per atom: 0.000
ΔE_f, eV per atom: 0.93


[9]
DFT (PBE) results for an optimized crystal structure of TiAgW3.

Cell: 4.587 4.587 4.587 Å, 90.00 90.00 90.00°
Sites, in units of the cell vectors:
W 0.500 0.000 0.000
W 0.000 0.500 0.000
W 0.000 0.000 0.500
Ag 0.500 0.500 0.500
Ti 0.000 0.000 0.000

Properties
Symmetry: Pm-3m (221)
Electronic total energy, eV/atom: -8.00
Distance to the lowest polymorph of the same formula, eV per atom: 0.000
ΔE_f, eV per atom: 1.92


[10]
DFT (PBE) results for an optimized crystal structure of TiAg2W2.

Cell: 3.724 3.724 7.230 Å, 75.08 75.08 90.00°
Sites, in units of the cell vectors:
Ag 0.750 0.250 0.500
Ag 0.250 0.750 0.500
Ti 0.000 0.000 0.000
W 0.586 0.586 0.827
W 0.414 0.414 0.173

Properties
Symmetry: I4/mmm (139)
Electronic total energy, eV/atom: -7.09
Distance to the lowest polymorph of the same formula, eV per atom: 0.000
ΔE_f, eV per atom: 0.81


[11]
DFT (PBE) results for an optimized crystal structure of TiAg2W.

Cell: 7.458 7.458 5.885 Å, 50.68 50.68 90.00°
Sites, in units of the cell vectors:
Ti 0.250 0.750 0.500
Ti 0.500 0.500 0.000
Ag 0.875 0.874 0.750
Ag 0.126 0.625 0.250
Ag 0.624 0.125 0.250
Ag 0.375 0.376 0.750
W 0.750 0.250 0.500
W 0.000 0.000 0.000

Properties
Symmetry: I-42d (122)
Electronic total energy, eV/atom: -5.73
Distance to the lowest polymorph of the same formula, eV per atom: 0.214
ΔE_f, eV per atom: 0.91


[12]
DFT (PBE) results for an optimized crystal structure of TiAgW.

Cell: 3.219 3.219 9.631 Å, 90.00 90.00 90.00°
Sites, in units of the cell vectors:
Ag 0.500 0.000 0.411
Ag 0.000 0.500 0.589
Ti 0.000 0.500 0.242
Ti 0.500 0.000 0.758
W 0.000 0.500 0.920
W 0.500 0.000 0.080

Properties
Symmetry: P4/nmm (129)
Electronic total energy, eV/atom: -7.93
ΔE_f, eV per atom: -0.03


> What is the electronic total energy in the sixth record?

-6.28 eV/atom


Copy entry 11 word for word.
DFT (PBE) results for an optimized crystal structure of TiAg2W.

Cell: 7.458 7.458 5.885 Å, 50.68 50.68 90.00°
Sites, in units of the cell vectors:
Ti 0.250 0.750 0.500
Ti 0.500 0.500 0.000
Ag 0.875 0.874 0.750
Ag 0.126 0.625 0.250
Ag 0.624 0.125 0.250
Ag 0.375 0.376 0.750
W 0.750 0.250 0.500
W 0.000 0.000 0.000

Properties
Symmetry: I-42d (122)
Electronic total energy, eV/atom: -5.73
Distance to the lowest polymorph of the same formula, eV per atom: 0.214
ΔE_f, eV per atom: 0.91


> ΔE_f of number 9 (TiAgW3)?

1.92 eV per atom


Please write out number 7 again, unchanged.
DFT (PBE) results for an optimized crystal structure of TiV3Ag.

Cell: 4.443 4.443 4.443 Å, 90.00 90.00 90.00°
Sites, in units of the cell vectors:
V 0.000 0.500 0.000
V 0.500 0.000 0.000
V 0.000 0.000 0.500
Ag 0.500 0.500 0.500
Ti 0.000 0.000 0.000

Properties
Symmetry: Pm-3m (221)
Electronic total energy, eV/atom: -6.37
Distance to the lowest polymorph of the same formula, eV per atom: 0.000
ΔE_f, eV per atom: 1.25